LiDyO: optimized geometry, PBE.

Results
Crystal system: orthorhombic
Density of states at the Fermi level: 11.7 states/eV per cell
Formation energy (no corrections): -1.681 eV per atom
V: 432 Å³/cell
Raw total energy: -16.5 eV/f.u.

a = 12.002 Å, b = 6.746 Å, c = 5.334 Å
α = 90.00°, β = 90.00°, γ = 90.00°
Space group Cmce (No. 64)
One atom of each set of equivalent atoms:
Li  0.000  0.149  0.071 x8
Dy  0.147  0.000  0.500 x8
O  0.000  0.092  0.722 x8

***

LiDyO2: optimized geometry, PBE.

Results
Crystal system: trigonal
Density of states at the Fermi level: 0.0 states/eV per cell
Formation energy (no corrections): -2.838 eV per atom
V: 185 Å³/cell
Raw total energy: -27.8 eV/f.u.

a = 3.4959 Å, b = 3.4959 Å, c = 17.4649 Å
α = 90.00°, β = 90.00°, γ = 120.00°
Space group R-3m (No. 166, hexagonal axes)
One atom of each set of equivalent atoms:
Li  0.0000  0.0000  0.0000 x3
Dy  0.0000  0.0000  0.5000 x3
O  0.0000  0.0000  0.1030 x6

***

LiDyO2: optimized geometry, PBE.

Results
Crystal system: trigonal
Density of states at the Fermi level: 0.0 states/eV per cell
Formation energy (no corrections): -2.747 eV per atom
V: 163 Å³/cell
Raw total energy: -27.4 eV/f.u.

a = 3.3604 Å, b = 3.3604 Å, c = 16.6957 Å
α = 90.00°, β = 90.00°, γ = 120.00°
Space group R3m (No. 160, hexagonal axes)
One atom of each set of equivalent atoms:
Li  0.0000  0.0000  0.0000 x3
Dy  0.0000  0.0000  0.8141 x3
O  0.0000  0.0000  0.2136 x3
O  0.0000  0.0000  0.4019 x3

***

LiDy5O8: optimized geometry, PBE.

Results
Crystal system: tetragonal
Density of states at the Fermi level: 0.0 states/eV per cell
Formation energy (no corrections): -3.265 eV per atom
V: 350 Å³/cell
Raw total energy: -110.3 eV/f.u.

a = 7.088 Å, b = 7.088 Å, c = 6.973 Å
α = 90.00°, β = 90.00°, γ = 90.00°
Space group I-4 (No. 82)
One atom of each set of equivalent atoms:
Li  0.000  0.000  0.000 x2
Dy  0.000  0.500  0.750 x2
Dy  0.148  0.747  0.369 x8
O  0.064  0.684  0.056 x8
O  0.070  0.805  0.678 x8

***

LiDyOs2O8: optimized geometry, PBE.

Results
Crystal system: tetragonal
Density of states at the Fermi level: 12.3 states/eV per cell
Formation energy (no corrections): -1.525 eV per atom
V: 300 Å³/cell
Raw total energy: -86.9 eV/f.u.

a = 5.179 Å, b = 5.179 Å, c = 11.182 Å
α = 90.00°, β = 90.00°, γ = 90.00°
Space group I-4 (No. 82)
One atom of each set of equivalent atoms:
Li  0.000  0.000  0.000 x2
Dy  0.000  0.500  0.750 x2
Os  0.000  0.000  0.500 x2
Os  0.000  0.500  0.250 x2
O  0.166  0.249  0.586 x8
O  0.172  0.749  0.167 x8

***

LiDy2PO6: optimized geometry, PBE.

Results
Crystal system: tetragonal
Density of states at the Fermi level: 0.0 states/eV per cell
Formation energy (no corrections): -2.748 eV per atom
V: 112 Å³/cell
Raw total energy: -73.8 eV/f.u.

a = 5.029 Å, b = 5.029 Å, c = 4.432 Å
α = 90.00°, β = 90.00°, γ = 90.00°
Space group P4mm (No. 99)
One atom of each set of equivalent atoms:
Li  0.000  0.000  0.000 x1
Dy  0.000  0.500  0.444 x2
P  0.500  0.500  0.026 x1
O  0.000  0.000  0.565 x1
O  0.274  0.274  0.122 x4
O  0.500  0.500  0.664 x1

***

LiDyPaO4: optimized geometry, PBE.

Results
Crystal system: orthorhombic
Density of states at the Fermi level: 11.1 states/eV per cell
Formation energy (no corrections): -3.008 eV per atom
V: 460 Å³/cell
Raw total energy: -56.9 eV/f.u.

a = 6.732 Å, b = 7.055 Å, c = 9.686 Å
α = 90.00°, β = 90.00°, γ = 90.00°
Space group Imma (No. 74)
One atom of each set of equivalent atoms:
Li  0.000  0.250  0.121 x4
Dy  0.250  0.250  0.750 x4
Pa  0.000  0.000  0.500 x4
O  0.000  0.031  0.729 x8
O  0.222  0.250  0.512 x8

***

LiDyPa2O8: optimized geometry, PBE.

Results
Crystal system: trigonal
Density of states at the Fermi level: 5.5 states/eV per cell
Formation energy (no corrections): -2.598 eV per atom
V: 154 Å³/cell
Raw total energy: -96.4 eV/f.u.

a = 5.7012 Å, b = 5.7012 Å, c = 5.4819 Å
α = 90.00°, β = 90.00°, γ = 120.00°
Space group P-3 (No. 147)
One atom of each set of equivalent atoms:
Li  0.0000  0.0000  0.0000 x1
Dy  0.0000  0.0000  0.5000 x1
Pa  0.3333  0.6667  0.9067 x2
O  0.0548  0.3285  0.1852 x6
O  0.3333  0.6667  0.5513 x2

***

LiDy3Pb2O: optimized geometry, PBE.

Results
Crystal system: orthorhombic
Density of states at the Fermi level: 2.2 states/eV per cell
Formation energy (no corrections): -1.195 eV per atom
V: 329 Å³/cell
Raw total energy: -36.5 eV/f.u.

a = 4.426 Å, b = 4.605 Å, c = 16.147 Å
α = 90.00°, β = 90.00°, γ = 90.00°
Space group Immm (No. 71)
One atom of each set of equivalent atoms:
Li  0.000  0.000  0.000 x2
Dy  0.000  0.000  0.500 x2
Dy  0.000  0.500  0.341 x4
Pb  0.000  0.500  0.143 x4
O  0.000  0.500  0.500 x2

***

LiDy2PbO6: optimized geometry, PBE.

Results
Crystal system: trigonal
Density of states at the Fermi level: 31.0 states/eV per cell
Formation energy (no corrections): -2.190 eV per atom
V: 426 Å³/cell
Raw total energy: -66.5 eV/f.u.

a = 5.6896 Å, b = 5.6896 Å, c = 15.2104 Å
α = 90.00°, β = 90.00°, γ = 120.00°
Space group R3 (No. 146, hexagonal axes)
One atom of each set of equivalent atoms:
Li  0.0000  0.0000  0.0000 x3
Dy  0.0000  0.0000  0.2780 x3
Dy  0.0000  0.0000  0.7792 x3
Pb  0.0000  0.0000  0.4890 x3
O  0.0397  0.3588  0.5507 x9
O  0.0459  0.6756  0.0528 x9

***

LiDy2PdO6: optimized geometry, PBE.

Results
Crystal system: monoclinic
Density of states at the Fermi level: 16.2 states/eV per cell
Formation energy (no corrections): -2.184 eV per atom
V: 230 Å³/cell
Raw total energy: -67.9 eV/f.u.

a = 5.310 Å, b = 5.762 Å, c = 9.148 Å
α = 90.00°, β = 124.64°, γ = 90.00°
Space group P2_1/c (No. 14)
One atom of each set of equivalent atoms:
Li  0.000  0.000  0.000 x2
Dy  0.225  0.085  0.748 x4
Pd  0.500  0.000  0.500 x2
O  0.131  0.183  0.442 x4
O  0.264  0.701  0.438 x4
O  0.373  0.042  0.250 x4

***

LiDy2PdO5: optimized geometry, PBE.

Results
Crystal system: tetragonal
Density of states at the Fermi level: 9.9 states/eV per cell
Formation energy (no corrections): -2.222 eV per atom
V: 244 Å³/cell
Raw total energy: -61.1 eV/f.u.

a = 6.500 Å, b = 6.500 Å, c = 5.774 Å
α = 90.00°, β = 90.00°, γ = 90.00°
Space group P4/mbm (No. 127)
One atom of each set of equivalent atoms:
Li  0.000  0.000  0.000 x2
Dy  0.173  0.327  0.500 x4
Pd  0.000  0.500  0.000 x2
O  0.000  0.000  0.500 x2
O  0.140  0.640  0.259 x8

***

Copy entry 3 word for word.
LiDyO2: optimized geometry, PBE.

Results
Crystal system: trigonal
Density of states at the Fermi level: 0.0 states/eV per cell
Formation energy (no corrections): -2.747 eV per atom
V: 163 Å³/cell
Raw total energy: -27.4 eV/f.u.

a = 3.3604 Å, b = 3.3604 Å, c = 16.6957 Å
α = 90.00°, β = 90.00°, γ = 120.00°
Space group R3m (No. 160, hexagonal axes)
One atom of each set of equivalent atoms:
Li  0.0000  0.0000  0.0000 x3
Dy  0.0000  0.0000  0.8141 x3
O  0.0000  0.0000  0.2136 x3
O  0.0000  0.0000  0.4019 x3